Density functional theory data (PBE-GGA) for crystalline ThCoCuSn at its relaxed geometry.

abc: 4.7608 4.7608 4.7608
angles: 60.00 60.00 60.00
With the nearest neighbours (Å) after each atom.
Sites, in units of the cell vectors:
Sn1 0.2500 0.2500 0.2500  4 Co 2.92, 4 Cu 2.92
Th1 0.7500 0.7500 0.7500  4 Co 2.92, 4 Cu 2.92
Cu1 0.5000 0.5000 0.5000  4 Th 2.92, 4 Sn 2.92
Co1 0.0000 0.0000 0.0000  4 Th 2.92, 4 Sn 2.92

* energy: -5.8843 eV per atom
* D(E_F): 0.856 states/eV per atom